Record 1
Below is a relaxed HfMgTa crystal, with properties calculated at the PBE level.

The structure in POSCAR format:
```
HfMgTa
1.0
5.434 0.000 0.000
2.717 4.742 0.000
2.717 0.000 5.150
Hf Mg Ta
2 2 2
Direct
0.662 0.000 0.677 Hf
0.338 0.000 0.323 Hf
0.835 0.331 0.000 Mg
0.165 0.669 0.000 Mg
0.250 0.500 0.500 Ta
0.750 0.500 0.500 Ta
```

DFT formation energy	0.4448	eV/atom
electronic total energy	-44.13	eV/cell
D(E_F)	1.158	states/eV/atom

Record 2
Below is a relaxed HfMg3Ta crystal, with properties calculated at the PBE level.

The structure in POSCAR format:
```
HfMg3Ta
1.0
5.100 0.000 0.000
0.000 5.100 0.000
0.000 0.000 5.100
Mg Hf Ta
3 1 1
Direct
0.000 0.500 0.000 Mg
0.000 0.000 0.500 Mg
0.500 0.000 0.000 Mg
0.500 0.500 0.500 Hf
0.000 0.000 0.000 Ta
```

DFT formation energy	1.5271	eV/atom
electronic total energy	-18.95	eV/cell
D(E_F)	0.834	states/eV/atom

Record 3
Below is a relaxed HfMgTa crystal, with properties calculated at the PBE level.

The structure in POSCAR format:
```
HfMgTa
1.0
-0.159 -0.643 2.856
-2.247 -1.807 -0.532
5.822 -4.230 -2.133
Ta Mg Hf
1 1 1
Direct
0.671 0.671 0.342 Ta
0.004 0.004 0.009 Mg
0.324 0.324 0.649 Hf
```

DFT formation energy	0.1587	eV/atom
electronic total energy	-22.92	eV/cell
D(E_F)	0.790	states/eV/atom

Record 4
Below is a relaxed HfMg2Ta crystal, with properties calculated at the PBE level.

The structure in POSCAR format:
```
HfMg2Ta
1.0
0.000 3.412 3.412
3.412 0.000 3.412
3.412 3.412 0.000
Mg Ta Hf
2 1 1
Direct
0.750 0.750 0.750 Mg
0.250 0.250 0.250 Mg
0.500 0.500 0.500 Ta
0.000 0.000 0.000 Hf
```

DFT formation energy	0.4434	eV/atom
electronic total energy	-23.22	eV/cell
D(E_F)	1.112	states/eV/atom

Record 5
Below is a relaxed Hf2Mg2Ta crystal, with properties calculated at the PBE level.

The structure in POSCAR format:
```
Hf2Mg2Ta
1.0
7.912 0.000 0.000
0.000 7.912 0.000
0.000 0.000 3.287
Hf Mg Ta
4 4 2
Direct
0.820 0.320 0.500 Hf
0.180 0.680 0.500 Hf
0.680 0.820 0.500 Hf
0.320 0.180 0.500 Hf
0.121 0.379 0.000 Mg
0.621 0.121 0.000 Mg
0.379 0.879 0.000 Mg
0.879 0.621 0.000 Mg
0.000 0.000 0.000 Ta
0.500 0.500 0.000 Ta
```

DFT formation energy	0.5076	eV/atom
electronic total energy	-64.82	eV/cell
D(E_F)	1.422	states/eV/atom

Record 6
Below is a relaxed HfMgTa2 crystal, with properties calculated at the PBE level.

The structure in POSCAR format:
```
HfMgTa2
1.0
7.656 0.000 0.000
0.000 7.656 0.000
3.828 3.828 2.805
Mg Ta Hf
2 4 2
Direct
0.500 0.500 0.000 Mg
0.250 0.750 0.500 Mg
0.136 0.625 0.250 Ta
0.875 0.864 0.750 Ta
0.375 0.386 0.750 Ta
0.614 0.125 0.250 Ta
0.750 0.250 0.500 Hf
0.000 0.000 0.000 Hf
```

DFT formation energy	0.8536	eV/atom
electronic total energy	-63.68	eV/cell
D(E_F)	0.661	states/eV/atom

Copy entry 4 word for word.
Below is a relaxed HfMg2Ta crystal, with properties calculated at the PBE level.

The structure in POSCAR format:
```
HfMg2Ta
1.0
0.000 3.412 3.412
3.412 0.000 3.412
3.412 3.412 0.000
Mg Ta Hf
2 1 1
Direct
0.750 0.750 0.750 Mg
0.250 0.250 0.250 Mg
0.500 0.500 0.500 Ta
0.000 0.000 0.000 Hf
```

DFT formation energy	0.4434	eV/atom
electronic total energy	-23.22	eV/cell
D(E_F)	1.112	states/eV/atom